(1)
A geometry-optimized Ga5B2Pt12 structure, computed with PBE-GGA.

Structure (POSCAR):
```
Ga5B2Pt12
1.0
7.790 -2.833 0.000
7.790 2.833 0.000
-4.160 0.000 6.987
Ga B Pt
5 2 12
Direct
0.000 0.000 0.000
0.293 0.293 0.119
0.312 0.312 0.638
0.688 0.688 0.362
0.707 0.707 0.881
0.268 0.732 0.500
0.732 0.268 0.500
0.029 0.029 0.713
0.089 0.596 0.415
0.108 0.596 0.934
0.404 0.892 0.066
0.404 0.911 0.585
0.495 0.495 0.281
0.505 0.505 0.719
0.596 0.089 0.415
0.596 0.108 0.934
0.892 0.404 0.066
0.911 0.404 0.585
0.971 0.971 0.287
```

Results
- Space-group type: C2/m, No. 12
- Energy of formation: -0.369 eV/atom
- Energy: -107.996 eV for the cell shown

---

(2)
A geometry-optimized NbTl2Cl structure, computed with PBE-GGA.

Structure (POSCAR):
```
NbTl2Cl
1.0
4.334 0.000 0.000
0.000 4.334 0.000
0.000 0.000 22.603
Nb Tl Cl
4 8 4
Direct
0.000 0.000 0.000
0.000 0.500 0.250
0.500 0.000 0.750
0.500 0.500 0.500
0.247 0.250 0.125
0.250 0.747 0.375
0.250 0.753 0.875
0.253 0.250 0.625
0.747 0.750 0.625
0.750 0.247 0.875
0.750 0.253 0.375
0.753 0.750 0.125
0.000 0.000 0.500
0.000 0.500 0.750
0.500 0.000 0.250
0.500 0.500 0.000
```

Results
- Space-group type: I-42d, No. 122
- Energy: -57.422 eV for the cell shown
- Polymorph energy (0 for the lowest one): 0.000 eV/atom

---

(3)
A geometry-optimized TaI2Br structure, computed with PBE-GGA.

Structure (POSCAR):
```
TaI2Br
1.0
6.397 0.000 0.000
2.893 7.143 0.000
2.241 1.222 7.521
Ta I Br
2 4 2
Direct
0.000 0.000 0.000
0.410 0.844 0.092
0.112 0.155 0.233
0.303 0.698 0.847
0.721 0.863 0.297
0.997 0.318 0.759
0.413 0.541 0.298
0.693 0.962 0.827
```

Results
- Space-group type: P1, No. 1
- Energy: -36.671 eV for the cell shown
- Polymorph energy (0 for the lowest one): 0.049 eV/atom

---

(4)
A geometry-optimized Dy5Al4 structure, computed with PBE-GGA.

Structure (POSCAR):
```
Dy5Al4
1.0
5.438 -2.309 0.000
5.438 2.309 0.000
-4.144 0.000 9.302
Dy Al
5 4
Direct
0.000 0.000 0.000
0.098 0.098 0.393
0.247 0.247 0.824
0.753 0.753 0.176
0.902 0.902 0.607
0.382 0.382 0.387
0.445 0.445 0.164
0.555 0.555 0.836
0.618 0.618 0.613
```

Results
- Space-group type: C2/m, No. 12
- Energy of formation: -0.340 eV/atom
- Energy: -41.044 eV for the cell shown

---

(5)
A geometry-optimized K2MgHgRh structure, computed with PBE-GGA.

Structure (POSCAR):
```
K2MgHgRh
1.0
6.034 0.000 0.000
0.000 6.034 0.000
0.000 0.000 5.278
K Mg Hg Rh
2 1 1 1
Direct
0.000 0.500 0.000
0.500 0.000 0.000
0.000 0.000 0.500
0.500 0.500 0.500
0.500 0.500 0.000
```

Results
- Space-group type: P4/mmm, No. 123
- Energy of formation: 0.400 eV/atom
- Energy: -9.442 eV for the cell shown

---

(6)
A geometry-optimized LiTlSi2Te6 structure, computed with PBE-GGA.

Structure (POSCAR):
```
LiTlSi2Te6
1.0
7.274 -6.595 0.000
7.274 6.595 0.000
-2.313 0.000 6.997
Li Tl Si Te
2 2 4 12
Direct
0.230 0.770 0.750
0.770 0.230 0.250
0.174 0.826 0.250
0.826 0.174 0.750
0.213 0.358 0.287
0.358 0.213 0.787
0.642 0.787 0.213
0.787 0.642 0.713
0.048 0.159 0.167
0.081 0.586 0.417
0.159 0.048 0.667
0.307 0.435 0.032
0.414 0.919 0.083
0.435 0.307 0.532
0.565 0.693 0.468
0.586 0.081 0.917
0.693 0.565 0.968
0.841 0.952 0.333
0.919 0.414 0.583
0.952 0.841 0.833
```

Results
- Space-group type: C2/c, No. 15
- Energy: -71.054 eV for the cell shown

---

(7)
A geometry-optimized GdTlHg structure, computed with PBE-GGA.

Structure (POSCAR):
```
GdTlHg
1.0
3.662 0.000 0.000
0.000 3.662 0.000
0.000 0.000 11.934
Gd Tl Hg
2 2 2
Direct
0.000 0.000 0.000
0.500 0.500 0.500
0.000 0.000 0.681
0.500 0.500 0.181
0.000 0.000 0.342
0.500 0.500 0.842
```

Results
- Space-group type: I4mm, No. 107
- Energy of formation: -0.289 eV/atom
- Energy: -35.233 eV for the cell shown
- Polymorph energy (0 for the lowest one): 0.034 eV/atom

---

(8)
A geometry-optimized Mn2Se structure, computed with PBE-GGA.

Structure (POSCAR):
```
Mn2Se
1.0
3.299 0.000 0.000
0.000 3.299 0.000
0.000 0.000 8.399
Mn Se
4 2
Direct
0.000 0.000 0.162
0.000 0.000 0.838
0.500 0.500 0.338
0.500 0.500 0.662
0.000 0.000 0.500
0.500 0.500 0.000
```

Results
- Space-group type: I4/mmm, No. 139
- Energy: -42.853 eV for the cell shown